Material: Th2BeBPt6
Method: DFT, PBE
State: relaxed

Properties
**Energy of formation from the pure elements**: -1.004 eV per atom
**V**: 17.21 Å³ per atom

CIF file:
```
data_Th2BeBPt6
_symmetry_space_group_name_H-M 'C 1 m 1'
_symmetry_Int_Tables_number 8
_cell_length_a 8.088
_cell_length_b 8.075
_cell_length_c 6.639
_cell_angle_alpha 90.00
_cell_angle_beta 127.46
_cell_angle_gamma 90.00
loop_
_symmetry_equiv_pos_as_xyz
'x,y,z'
'x,-y,z'
'x+1/2,y+1/2,z'
'x+1/2,-y+1/2,z'
loop_
_atom_site_label
_atom_site_fract_x
_atom_site_fract_y
_atom_site_fract_z
Th1 0.000 0.250 0.000
Be1 0.121 0.000 0.742
B1 0.125 0.500 0.751
Pt1 0.022 0.254 0.544
Pt2 0.267 0.500 0.543
Pt3 0.276 0.000 0.544
Pt4 0.332 0.000 0.163
Pt5 0.332 0.500 0.164
```


Material: TlMo2Os
Method: DFT, PBE
State: relaxed

Properties
**Energy of formation from the pure elements**: 0.654 eV per atom
**V**: 16.73 Å³ per atom

CIF file:
```
data_TlMo2Os
_symmetry_space_group_name_H-M 'I 4/m m m'
_symmetry_Int_Tables_number 139
_symmetry_space_group_name_Hall '-I 4 2'
_cell_length_a 3.896
_cell_length_b 3.896
_cell_length_c 8.818
_cell_angle_alpha 90.00
_cell_angle_beta 90.00
_cell_angle_gamma 90.00
loop_
_atom_site_label
_atom_site_fract_x
_atom_site_fract_y
_atom_site_fract_z
Tl1 0.000 0.000 0.000
Mo1 0.000 0.500 0.250
Os1 0.000 0.000 0.500
```


Material: CaCeBiSb
Method: DFT, PBE
State: relaxed

Properties
**V**: 30.01 Å³ per atom
**Calculated total energy**: -4.714 eV/atom

CIF file:
```
data_CaCeBiSb
_symmetry_space_group_name_H-M 'F -4 3 m'
_symmetry_Int_Tables_number 216
_symmetry_space_group_name_Hall 'F -4 2 3'
_cell_length_a 7.831
_cell_length_b 7.831
_cell_length_c 7.831
_cell_angle_alpha 90.00
_cell_angle_beta 90.00
_cell_angle_gamma 90.00
loop_
_atom_site_label
_atom_site_fract_x
_atom_site_fract_y
_atom_site_fract_z
Ca1 0.000 0.000 0.000
Ce1 0.000 0.000 0.500
Bi1 0.250 0.250 0.750
Sb1 0.250 0.250 0.250
```


Material: NdSm12Sc2
Method: DFT, PBE
State: relaxed

Properties
**Energy of formation from the pure elements**: 0.086 eV per atom
**V**: 32.90 Å³ per atom

CIF file:
```
data_NdSm12Sc2
_symmetry_space_group_name_H-M 'C 1 2/m 1'
_symmetry_Int_Tables_number 12
_cell_length_a 6.904
_cell_length_b 10.921
_cell_length_c 26.205
_cell_angle_alpha 90.00
_cell_angle_beta 92.61
_cell_angle_gamma 90.00
loop_
_symmetry_equiv_pos_as_xyz
'x,y,z'
'-x,-y,-z'
'-x,y,-z'
'x,-y,z'
'x+1/2,y+1/2,z'
'-x+1/2,-y+1/2,-z'
'-x+1/2,y+1/2,-z'
'x+1/2,-y+1/2,z'
loop_
_atom_site_label
_atom_site_fract_x
_atom_site_fract_y
_atom_site_fract_z
Nd1 0.245 0.000 0.003
Sm1 0.015 0.256 0.071
Sm2 0.141 0.328 0.447
Sm3 0.160 0.000 0.442
Sm4 0.166 0.315 0.668
Sm5 0.207 0.235 0.796
Sm6 0.217 0.000 0.652
Sm7 0.218 0.000 0.872
Sm8 0.228 0.500 0.864
Sc1 0.037 0.500 0.242
Sc2 0.063 0.000 0.250
```


Material: AcDyAgHg
Method: DFT, PBE
State: relaxed

Properties
**Energy of formation from the pure elements**: -0.338 eV per atom
**V**: 28.65 Å³ per atom

CIF file:
```
data_AcDyAgHg
_symmetry_space_group_name_H-M 'F -4 3 m'
_symmetry_Int_Tables_number 216
_symmetry_space_group_name_Hall 'F -4 2 3'
_cell_length_a 7.711
_cell_length_b 7.711
_cell_length_c 7.711
_cell_angle_alpha 90.00
_cell_angle_beta 90.00
_cell_angle_gamma 90.00
loop_
_atom_site_label
_atom_site_fract_x
_atom_site_fract_y
_atom_site_fract_z
Ac1 0.000 0.000 0.000
Dy1 0.000 0.000 0.500
Ag1 0.250 0.250 0.750
Hg1 0.250 0.250 0.250
```


Material: ReMoSeN2
Method: DFT, PBE
State: relaxed

Properties
**V**: 15.99 Å³ per atom
**Calculated total energy**: -7.850 eV/atom

CIF file:
```
data_ReMoSeN2
_symmetry_space_group_name_H-M 'P 4/m m m'
_symmetry_Int_Tables_number 123
_symmetry_space_group_name_Hall '-P 4 2'
_cell_length_a 3.847
_cell_length_b 3.847
_cell_length_c 5.402
_cell_angle_alpha 90.00
_cell_angle_beta 90.00
_cell_angle_gamma 90.00
loop_
_atom_site_label
_atom_site_fract_x
_atom_site_fract_y
_atom_site_fract_z
Re1 0.000 0.000 0.000
Mo1 0.500 0.500 0.500
Se1 0.000 0.000 0.500
N1 0.000 0.500 0.000
```


Material: SnI3Br
Method: DFT, PBE
State: relaxed

Properties
**V**: 42.90 Å³ per atom
**Calculated total energy**: -2.035 eV/atom

CIF file:
```
data_SnI3Br
_symmetry_space_group_name_H-M 'P m -3 m'
_symmetry_Int_Tables_number 221
_symmetry_space_group_name_Hall '-P 4 2 3'
_cell_length_a 5.986
_cell_length_b 5.986
_cell_length_c 5.986
_cell_angle_alpha 90.00
_cell_angle_beta 90.00
_cell_angle_gamma 90.00
loop_
_atom_site_label
_atom_site_fract_x
_atom_site_fract_y
_atom_site_fract_z
Sn1 0.000 0.000 0.000
I1 0.000 0.000 0.500
Br1 0.500 0.500 0.500
```


Material: LiCd2Bi2
Method: DFT, PBE
State: relaxed

Properties
**Energy of formation from the pure elements**: 0.015 eV per atom
**V**: 31.35 Å³ per atom

CIF file:
```
data_LiCd2Bi2
_symmetry_space_group_name_H-M 'I 4/m m m'
_symmetry_Int_Tables_number 139
_symmetry_space_group_name_Hall '-I 4 2'
_cell_length_a 4.864
_cell_length_b 4.864
_cell_length_c 13.248
_cell_angle_alpha 90.00
_cell_angle_beta 90.00
_cell_angle_gamma 90.00
loop_
_atom_site_label
_atom_site_fract_x
_atom_site_fract_y
_atom_site_fract_z
Li1 0.000 0.000 0.000
Cd1 0.000 0.000 0.398
Bi1 0.000 0.500 0.250
```


Material: Pm8PIr3Br3
Method: DFT, PBE
State: relaxed

Properties
**V**: 29.83 Å³ per atom
**Calculated total energy**: -6.019 eV/atom

CIF file:
```
data_Pm8PIr3Br3
_symmetry_space_group_name_H-M 'R -3 m'
_symmetry_Int_Tables_number 166
_symmetry_space_group_name_Hall '-R 3 2"'
_cell_length_a 8.3744
_cell_length_b 8.3744
_cell_length_c 22.1016
_cell_angle_alpha 90.00
_cell_angle_beta 90.00
_cell_angle_gamma 120.00
loop_
_atom_site_label
_atom_site_fract_x
_atom_site_fract_y
_atom_site_fract_z
Pm1 0.0000 0.0000 0.2338
Pm2 0.0106 0.5053 0.7656
P1 0.0000 0.0000 0.5000
Ir1 0.0000 0.5000 0.5000
Br1 0.0000 0.5000 0.0000
```


Material: CuSnAuO4
Method: DFT, PBE
State: relaxed

Properties
**V**: 13.53 Å³ per atom
**Calculated total energy**: -5.132 eV/atom

CIF file:
```
data_CuSnAuO4
_symmetry_space_group_name_H-M 'I m m a'
_symmetry_Int_Tables_number 74
_symmetry_space_group_name_Hall '-I 2b 2'
_cell_length_a 6.091
_cell_length_b 6.195
_cell_length_c 10.040
_cell_angle_alpha 90.00
_cell_angle_beta 90.00
_cell_angle_gamma 90.00
loop_
_atom_site_label
_atom_site_fract_x
_atom_site_fract_y
_atom_site_fract_z
Cu1 0.000 0.250 0.151
Sn1 0.000 0.000 0.500
Au1 0.250 0.250 0.750
O1 0.000 0.019 0.723
O2 0.228 0.250 0.476
```


Material: SrLaTb2
Method: DFT, PBE
State: relaxed

Properties
**Energy of formation from the pure elements**: 0.115 eV per atom
**V**: 36.97 Å³ per atom

CIF file:
```
data_SrLaTb2
_symmetry_space_group_name_H-M 'R 3 m'
_symmetry_Int_Tables_number 160
_symmetry_space_group_name_Hall 'R 3 -2"'
_cell_length_a 3.7308
_cell_length_b 3.7308
_cell_length_c 36.8088
_cell_angle_alpha 90.00
_cell_angle_beta 90.00
_cell_angle_gamma 120.00
loop_
_atom_site_label
_atom_site_fract_x
_atom_site_fract_y
_atom_site_fract_z
Sr1 0.0000 0.0000 0.0000
La1 0.0000 0.0000 0.8343
Tb1 0.0000 0.0000 0.2456
Tb2 0.0000 0.0000 0.4221
```


Material: CeGaTe
Method: DFT, PBE
State: relaxed

Properties
**V**: 27.33 Å³ per atom
**Calculated total energy**: -4.626 eV/atom

CIF file:
```
data_CeGaTe
_symmetry_space_group_name_H-M 'I 4 m m'
_symmetry_Int_Tables_number 107
_symmetry_space_group_name_Hall 'I 4 -2'
_cell_length_a 4.081
_cell_length_b 4.081
_cell_length_c 9.846
_cell_angle_alpha 90.00
_cell_angle_beta 90.00
_cell_angle_gamma 90.00
loop_
_atom_site_label
_atom_site_fract_x
_atom_site_fract_y
_atom_site_fract_z
Ce1 0.000 0.000 0.000
Ga1 0.000 0.000 0.637
Te1 0.000 0.000 0.341
```